Material: SeBrN2F
Method: DFT, SCAN
State: PBEsol geometry

Lattice parameters (Å, degrees): 3.639 3.639 6.236 90.00 90.00 90.00
Sites, in units of the cell vectors:
N: 0.000 0.500 0.000
N: 0.500 0.000 0.000
Se: 0.000 0.000 0.500
Br: 0.000 0.000 0.000
F: 0.500 0.500 0.500

Results
Its formation energy without anion corrections is 2137 meV per atom. The calculation puts the density of states at the Fermi level at 2.7 states/eV per cell.

Material: SrBrN2F
Method: DFT, SCAN
State: PBEsol geometry

Lattice parameters (Å, degrees): 4.441 5.269 5.269 90.00 90.00 90.00
Site moments in Bohr magnetons follow the coordinates.
Sites, in units of the cell vectors:
Sr: 0.000 0.000 0.000  0.07
N: 0.000 0.000 0.500  1.84
N: 0.000 0.500 0.000  1.84
Br: 0.500 0.500 0.500  0.41
F: 0.500 0.000 0.000  0.01

Results
Its formation energy without anion corrections is 264 meV per atom. The calculation puts the density of states at the Fermi level at 1.3 states/eV per cell.

Material: SrBrNF2
Method: DFT, SCAN
State: PBEsol geometry

Lattice parameters (Å, degrees): 4.537 4.537 5.949 90.00 90.00 90.00
Site moments in Bohr magnetons follow the coordinates.
Sites, in units of the cell vectors:
Sr: 0.000 0.000 0.000  0.01
N: 0.000 0.000 0.500  1.89
Br: 0.500 0.500 0.500  -0.48
F: 0.000 0.500 0.000  -0.05
F: 0.500 0.000 0.000  -0.05

Results
Its formation energy without anion corrections is -1021 meV per atom. The calculation puts the density of states at the Fermi level at 4.8 states/eV per cell.

Material: WBrN2F
Method: DFT, SCAN
State: PBEsol geometry

Lattice parameters (Å, degrees): 3.974 4.010 4.010 90.00 90.00 90.00
Site moments in Bohr magnetons follow the coordinates.
Sites, in units of the cell vectors:
N: 0.000 0.000 0.500  -0.22
N: 0.000 0.500 0.000  -0.22
Br: 0.000 0.000 0.000  0.05
W: 0.500 0.500 0.500  2.84
F: 0.500 0.000 0.000  0.07

Results
Its formation energy without anion corrections is 2355 meV per atom. The calculation puts the density of states at the Fermi level at 2.3 states/eV per cell.

Material: WBrNF2
Method: DFT, SCAN
State: PBEsol geometry

Lattice parameters (Å, degrees): 3.928 4.084 4.084 90.00 90.00 90.00
Site moments in Bohr magnetons follow the coordinates.
Sites, in units of the cell vectors:
N: 0.500 0.000 0.000  -0.12
Br: 0.500 0.500 0.500  0.14
W: 0.000 0.000 0.000  0.91
F: 0.000 0.000 0.500  0.02
F: 0.000 0.500 0.000  0.02

Results
Its formation energy without anion corrections is -703 meV per atom. The calculation puts the density of states at the Fermi level at 3.1 states/eV per cell.

Material: NaBrF2
Method: DFT, SCAN
State: PBEsol geometry

Lattice parameters (Å, degrees): 3.757 3.757 6.302 72.65 72.65 60.00
Sites, in units of the cell vectors:
Na: 0.500 0.500 0.500
Br: 0.000 0.000 0.000
F: 0.888 0.888 0.336
F: 0.112 0.112 0.664

Results
Its formation energy without anion corrections is -1772 meV per atom. The calculation puts the density of states at the Fermi level at 0.0 states/eV per cell.

Material: Na2BrF
Method: DFT, SCAN
State: PBEsol geometry

Lattice parameters (Å, degrees): 6.082 6.082 6.082 99.34 114.76 114.76
Sites, in units of the cell vectors:
Na: 0.917 0.542 0.125
Na: 0.083 0.208 0.625
Na: 0.417 0.875 0.792
Na: 0.583 0.375 0.458
Br: 0.500 0.750 0.250
Br: 0.000 0.000 0.000
F: 0.500 0.250 0.750
F: 0.000 0.500 0.500

Results
Its formation energy without anion corrections is -2237 meV per atom. The calculation puts the density of states at the Fermi level at 0.0 states/eV per cell.

Material: NbBr2F
Method: DFT, SCAN
State: PBEsol geometry

Lattice parameters (Å, degrees): 3.429 3.429 8.540 78.42 78.42 60.00
Sites, in units of the cell vectors:
Nb: 0.000 0.000 0.000
Br: 0.905 0.905 0.284
Br: 0.095 0.095 0.716
F: 0.500 0.500 0.500

Results
Its formation energy without anion corrections is -61 meV per atom. The calculation puts the density of states at the Fermi level at 5.3 states/eV per cell.

Q: Number 8 is which compound?
A: NbBr2F

Q: Look up the formation energy without anion corrections of the first one.
A: 2137 meV per atom

Q: What is the formation energy without anion corrections in the third record?
A: -1021 meV per atom

Q: Among the records above, which one has the highest density of states at the Fermi level?
A: NbBr2F